This record from Alexandria describes an optimized crystal structure of In2FeHg. The functional is PBEsol.

## Properties
Formation energy ... 0.322 eV/atom

abc: 9.314 3.117 5.570
angles: 90.00 103.10 90.00
Space group C2/m (No. 12)
Asymmetric unit:
In1 0.236 0.000 0.224
Fe1 0.000 0.500 0.000
Hg1 0.000 0.000 0.500

---

This record from Alexandria describes an optimized crystal structure of CsIn2Sn2. The functional is PBEsol.

## Properties
Formation energy ... -0.199 eV/atom

abc: 5.297 5.297 11.377
angles: 90.00 90.00 90.00
Space group I4/mmm (No. 139)
Asymmetric unit:
Cs1 0.000 0.000 0.000
In1 0.000 0.500 0.250
Sn1 0.000 0.000 0.373

---

This record from Alexandria describes an optimized crystal structure of SrCd2ReMo. The functional is PBEsol.

## Properties
Formation energy ... 0.855 eV/atom

abc: 5.286 5.286 4.608
angles: 90.00 90.00 90.00
Space group P4/mmm (No. 123)
Asymmetric unit:
Sr1 0.000 0.000 0.000
Cd1 0.000 0.500 0.500
Re1 0.500 0.500 0.000
Mo1 0.500 0.500 0.500

---

This record from Alexandria describes an optimized crystal structure of Na5H3C4O12. The functional is PBEsol.

## Properties
Energy ... -6.52 eV/atom

abc: 3.446 10.055 15.540
angles: 107.65 95.51 94.87
Space group P-1 (No. 2)
Asymmetric unit:
Na1 0.081 0.287 0.194
Na2 0.274 0.249 0.977
Na3 0.284 0.174 0.549
Na4 0.308 0.678 0.596
Na5 0.316 0.783 0.224
H1 0.000 0.000 0.000
H2 0.000 0.500 0.000
H3 0.245 0.967 0.754
H4 0.491 0.458 0.745
C1 0.080 0.026 0.360
C2 0.257 0.495 0.881
C3 0.265 0.563 0.369
C4 0.361 0.029 0.122
O1 0.127 0.159 0.391
O2 0.128 0.039 0.723
O3 0.142 0.572 0.958
O4 0.192 0.088 0.065
O5 0.194 0.649 0.442
O6 0.200 0.430 0.346
O7 0.214 0.945 0.401
O8 0.241 0.362 0.863
O9 0.314 0.897 0.104
O10 0.384 0.562 0.828
O11 0.430 0.621 0.310
O12 0.436 0.886 0.804

---

This record from Alexandria describes an optimized crystal structure of CdFeP2Cl. The functional is PBEsol.

## Properties
Formation energy (no corrections) ... 1.32 eV/atom

abc: 4.858 4.858 5.015
angles: 90.00 90.00 90.00
Space group P4/mmm (No. 123)
Asymmetric unit:
Cd1 0.000 0.000 0.000
Fe1 0.500 0.500 0.500
P1 0.000 0.500 0.000
Cl1 0.000 0.000 0.500

---

This record from Alexandria describes an optimized crystal structure of Cd2Sb2O7. The functional is PBEsol.

## Properties
Formation energy (no corrections) ... -1.37 eV/atom

abc: 10.324 10.324 10.324
angles: 90.00 90.00 90.00
Space group Fd-3m (No. 227, origin choice 2)
Asymmetric unit:
Cd1 0.000 0.000 0.000
Sb1 0.000 0.000 0.500
O1 0.075 0.375 0.875
O2 0.125 0.125 0.125